Below is an optimized crystal structure of PrDy8Cd6, with properties calculated at the PBE level.

Output
E: -3.203 eV per atom

Geometry as CIF:
```
data_PrDy8Cd6
_chemical_formula_sum 'Pr3 Dy24 Cd18'
_space_group_name_H-M_alt 'R -3'
_space_group_IT_number 148
_space_group_name_Hall '-R 3'
_cell_length_a 9.0300
_cell_length_b 9.0300
_cell_length_c 19.1021
_cell_angle_alpha 90.00
_cell_angle_beta 90.00
_cell_angle_gamma 120.00
loop_
_atom_site_label
_atom_site_fract_x
_atom_site_fract_y
_atom_site_fract_z
Pr1 0.0000 0.0000 0.0000
Dy1 0.0000 0.0000 0.3319
Dy2 0.0026 0.3307 0.1164
Cd1 0.9997 0.3407 0.9475
```